VASP calculation (PBE-GGA) on Pm3InSi2Rh9 after structural relaxation.

Lattice parameters (Å, degrees): 6.1088 6.1088 9.5993 90.00 90.00 120.00
Sites, in units of the cell vectors:
1 Pm 0.0000 0.0000 0.0000
2 Pm 0.3333 0.6667 0.7296
3 Pm 0.6667 0.3333 0.2704
4 In 0.0000 0.0000 0.5000
5 Si 0.3333 0.6667 0.1584
6 Si 0.6667 0.3333 0.8416
7 Rh 0.0000 0.5000 0.0000
8 Rh 0.1459 0.2918 0.2652
9 Rh 0.1459 0.8541 0.2652
10 Rh 0.2918 0.1459 0.7348
11 Rh 0.5000 0.0000 0.0000
12 Rh 0.5000 0.5000 0.0000
13 Rh 0.7082 0.8541 0.2652
14 Rh 0.8541 0.1459 0.7348
15 Rh 0.8541 0.7082 0.7348

Output
symmetry	P-3m1
total magnetization	0.000	μB per atom
formation energy without anion corrections	-488	meV per atom
volume	310.2	Å³/cell